Record 1
# InRe3O

A relaxed InRe3O crystal (PBE, Alexandria via LeMat-Bulk).

Properties
Final energy   -26.35 eV per formula unit
Formation energy from raw total energies   3739 meV/atom
Offset from the most stable computed form   3.069 eV per atom

Lattice parameters (Å, degrees): 5.125 5.125 5.125 90.00 90.00 90.00
Positions (direct):
Re  0.000  0.500  0.000
Re  0.000  0.000  0.500
Re  0.500  0.000  0.000
O  0.500  0.500  0.500
In  0.000  0.000  0.000

---

Record 2
# Li2TaO

A relaxed Li2TaO crystal (PBE, Alexandria via LeMat-Bulk).

Properties
Final energy   -22.68 eV per formula unit
Formation energy from raw total energies   -510 meV/atom

Lattice parameters (Å, degrees): 7.119 7.119 5.431 49.06 49.06 90.00
Positions (direct):
Li  0.524  0.125  0.250
Li  0.226  0.625  0.250
Li  0.375  0.476  0.750
Li  0.875  0.774  0.750
O  0.500  0.500  0.000
O  0.250  0.750  0.500
Ta  0.000  0.000  0.000
Ta  0.750  0.250  0.500